DFT (PBE) results for an optimized crystal structure of AlRh3.

Lattice parameters (Å, degrees): 5.453 5.453 4.368 90.00 90.00 120.00
Atoms (fractional coordinates):
1 Al 0.333 0.667 0.250
2 Al 0.667 0.333 0.750
3 Rh 0.833 0.665 0.250
4 Rh 0.335 0.167 0.250
5 Rh 0.833 0.167 0.250
6 Rh 0.167 0.335 0.750
7 Rh 0.665 0.833 0.750
8 Rh 0.167 0.833 0.750

The formation energy is -479 meV/atom.